[1]
PBE Ca2Zn3Ni4, relaxed; ΔE_f = -0.216 eV per atom
1.0
5.391 0.000 0.000
0.000 7.008 0.000
-2.695 0.000 7.612
Ca Zn Ni
4 6 8
Direct
0.103 0.591 0.205
0.897 0.409 0.795
0.397 0.091 0.795
0.603 0.909 0.205
0.000 0.000 0.000
0.500 0.500 0.000
0.512 0.750 0.525
0.988 0.250 0.475
0.488 0.250 0.475
0.012 0.750 0.525
0.675 0.750 0.850
0.825 0.250 0.150
0.325 0.250 0.150
0.175 0.750 0.850
0.167 0.000 0.333
0.833 0.000 0.667
0.333 0.500 0.667
0.667 0.500 0.333



[2]
PBE PmDyPtRh, relaxed; energy above the most stable polymorph in this dataset = 0 meV/atom; ΔE_f = -1.004 eV per atom
1.0
3.846 0.000 0.000
0.000 4.380 0.000
-1.923 0.000 5.348
Pm Dy Pt Rh
1 1 1 1
Direct
0.144 0.000 0.288
0.863 0.500 0.725
0.584 0.500 0.168
0.410 0.000 0.819



[3]
PBE RbSe3Br, relaxed; energy above the most stable polymorph in this dataset = 741 meV/atom; uncorrected formation energy = 0.912 eV/atom
1.0
6.712 0.000 0.000
0.000 6.712 0.000
0.000 0.000 6.712
Se Br Rb
3 1 1
Direct
0.000 0.500 0.000
0.000 0.000 0.500
0.500 0.000 0.000
0.500 0.500 0.500
0.000 0.000 0.000



[4]
PBE La2MgAg, relaxed; ΔE_f = 0.023 eV per atom
1.0
-0.562 2.036 -2.927
-0.091 -1.521 -3.272
-10.780 -1.321 -1.090
La Mg Ag
2 1 1
Direct
0.078 0.078 0.767
0.256 0.256 0.233
0.500 0.500 0.500
0.667 0.667 0.000



M_tot in μB per atom, matching the order above: 0.00; 0.00; 1.20; 0.00